The following is a PBEsol calculation of crystalline Y2Co at its relaxed geometry, from Alexandria via LeMat-Bulk.

- Electronic total energy: -7.23 eV per atom
- D(E_F): 9.293 states/eV/cell
- Formation energy: -0.3 eV/f.u.

The structure in CIF format:
```
data_Y2Co
_cell_length_a 6.553
_cell_length_b 6.553
_cell_length_c 6.553
_cell_angle_alpha 90.00
_cell_angle_beta 90.00
_cell_angle_gamma 90.00
_symmetry_space_group_name_H-M 'P a -3'
_symmetry_Int_Tables_number 205
_symmetry_space_group_name_Hall '-P 2ac 2ab 3'
loop_
_atom_site_label
_atom_site_type_symbol
_atom_site_fract_x
_atom_site_fract_y
_atom_site_fract_z
_atom_site_occupancy
Y1 Y 0.164 0.164 0.164 1
Co1 Co 0.000 0.000 0.500 1
```